# 1
The following is a DFT calculation (PBE) of crystalline SiSbPb4 at its relaxed geometry.

Cell: 6.411 6.411 6.411 Å, 60.00 60.00 60.00°
Positions (direct):
Si 0.000 0.000 0.000
Sb 0.750 0.750 0.750
Pb 0.876 0.375 0.375
Pb 0.375 0.375 0.876
Pb 0.375 0.876 0.375
Pb 0.375 0.375 0.375

Calculated values
As for the total energy: -3.503 eV/atom. Its raw formation energy is 0.5601 eV/atom.


# 2
The following is a DFT calculation (PBE) of crystalline SiSb2Pb at its relaxed geometry.

Cell: 6.118 6.118 5.316 Å, 65.87 65.87 35.58°
Positions (direct):
Pb 0.250 0.250 0.250
Sb 0.051 0.051 0.942
Sb 0.449 0.449 0.558
Si 0.750 0.750 0.750

Calculated values
As for the total energy: -4.080 eV/atom. Its relative energy among the computed polymorphs is 0.076 eV/atom. Its raw formation energy is 0.2640 eV/atom.


# 3
The following is a DFT calculation (PBE) of crystalline SiSb2Pb at its relaxed geometry.

Cell: 3.415 3.415 9.300 Å, 90.00 90.00 101.08°
Positions (direct):
Pb 0.500 0.500 0.724
Sb 0.000 0.000 0.992
Sb 0.500 0.500 0.303
Si 0.000 0.000 0.480

Calculated values
As for the total energy: -3.990 eV/atom. Its relative energy among the computed polymorphs is 0.166 eV/atom. Its raw formation energy is 0.3542 eV/atom.


# 4
The following is a DFT calculation (PBE) of crystalline SiSb2Pb at its relaxed geometry.

Cell: 3.566 3.567 7.974 Å, 90.00 90.00 90.00°
Positions (direct):
Pb 0.500 0.500 0.750
Sb 0.000 0.000 0.048
Sb 0.000 0.000 0.452
Si 0.500 0.500 0.250

Calculated values
As for the total energy: -4.038 eV/atom. Its relative energy among the computed polymorphs is 0.118 eV/atom. Its raw formation energy is 0.3062 eV/atom.


# 5
The following is a DFT calculation (PBE) of crystalline SiSb2Pb at its relaxed geometry.

Cell: 5.940 5.940 5.940 Å, 134.57 134.57 66.20°
Positions (direct):
Pb 0.750 0.250 0.500
Sb 0.000 0.000 0.000
Sb 0.250 0.750 0.500
Si 0.500 0.500 0.000

Calculated values
As for the total energy: -3.897 eV/atom. Its relative energy among the computed polymorphs is 0.259 eV/atom. Its raw formation energy is 0.4468 eV/atom.


# 6
The following is a DFT calculation (PBE) of crystalline SiSb2Pb at its relaxed geometry.

Cell: 4.109 4.108 6.836 Å, 90.00 90.00 90.00°
Positions (direct):
Pb 0.500 0.500 0.812
Sb 0.000 0.000 0.967
Sb 0.500 0.500 0.369
Si 0.000 0.000 0.353

Calculated values
As for the total energy: -4.105 eV/atom. Its relative energy among the computed polymorphs is 0.051 eV/atom. Its raw formation energy is 0.2392 eV/atom.


# 7
The following is a DFT calculation (PBE) of crystalline SiSb2Pb at its relaxed geometry.

Cell: 3.910 5.105 5.195 Å, 90.00 90.00 90.00°
Positions (direct):
Pb 0.000 0.500 0.500
Sb 0.000 0.000 0.000
Sb 0.500 0.500 0.000
Si 0.500 0.000 0.500

Calculated values
As for the total energy: -3.933 eV/atom. Its relative energy among the computed polymorphs is 0.223 eV/atom. Its raw formation energy is 0.4114 eV/atom.


# 8
The following is a DFT calculation (PBE) of crystalline SiSbPb2 at its relaxed geometry.

Cell: 3.587 3.587 8.307 Å, 90.00 90.00 90.00°
Positions (direct):
Pb 0.000 0.000 0.966
Pb 0.500 0.500 0.262
Sb 0.000 0.000 0.556
Si 0.500 0.500 0.715

Calculated values
As for the total energy: -3.986 eV/atom. Its relative energy among the computed polymorphs is 0.055 eV/atom. Its raw formation energy is 0.2546 eV/atom.


# 9
The following is a DFT calculation (PBE) of crystalline SiSbPb2 at its relaxed geometry.

Cell: 5.349 5.349 5.349 Å, 60.00 60.00 60.00°
Positions (direct):
Pb 0.250 0.250 0.250
Pb 0.750 0.750 0.750
Sb 0.500 0.500 0.500
Si 0.000 0.000 0.000

Calculated values
As for the total energy: -3.860 eV/atom. Its relative energy among the computed polymorphs is 0.181 eV/atom. Its raw formation energy is 0.3808 eV/atom.


# 10
The following is a DFT calculation (PBE) of crystalline SiSbPb3 at its relaxed geometry.

Cell: 5.440 5.440 5.440 Å, 90.00 90.00 90.00°
Positions (direct):
Pb 0.000 0.500 0.000
Pb 0.000 0.000 0.500
Pb 0.500 0.000 0.000
Sb 0.500 0.500 0.500
Si 0.000 0.000 0.000

Calculated values
As for the total energy: -3.678 eV/atom. Its relative energy among the computed polymorphs is 0.000 eV/atom. Its raw formation energy is 0.4559 eV/atom.


# 11
The following is a DFT calculation (PBE) of crystalline SiSbPb2 at its relaxed geometry.

Cell: 8.553 8.553 8.553 Å, 27.00 27.00 27.00°
Positions (direct):
Pb 0.013 0.013 0.013
Pb 0.246 0.246 0.246
Sb 0.482 0.482 0.482
Si 0.758 0.758 0.758

Calculated values
As for the total energy: -4.041 eV/atom. Its relative energy among the computed polymorphs is 0.000 eV/atom. Its raw formation energy is 0.1994 eV/atom.


# 12
The following is a DFT calculation (PBE) of crystalline SiSb2Pb at its relaxed geometry.

Cell: 5.185 3.272 6.768 Å, 71.68 90.00 90.00°
Positions (direct):
Pb 0.500 0.618 0.786
Sb 0.000 0.941 0.990
Sb 0.500 0.343 0.315
Si 0.000 0.598 0.409

Calculated values
As for the total energy: -4.018 eV/atom. Its relative energy among the computed polymorphs is 0.138 eV/atom. Its raw formation energy is 0.3259 eV/atom.


# 13
The following is a DFT calculation (PBE) of crystalline SiSb2Pb at its relaxed geometry.

Cell: 5.250 5.250 5.250 Å, 60.00 60.00 60.00°
Positions (direct):
Pb 0.500 0.500 0.500
Sb 0.250 0.250 0.250
Sb 0.750 0.750 0.750
Si 0.000 0.000 0.000

Calculated values
As for the total energy: -3.923 eV/atom. Its relative energy among the computed polymorphs is 0.233 eV/atom. Its raw formation energy is 0.4214 eV/atom.


# 14
The following is a DFT calculation (PBE) of crystalline SiSbPb2 at its relaxed geometry.

Cell: 7.401 7.401 7.401 Å, 150.34 145.27 46.30°
Positions (direct):
Pb 0.070 0.070 0.000
Pb 0.430 0.430 0.000
Sb 0.750 0.250 0.500
Si 0.250 0.750 0.500

Calculated values
As for the total energy: -3.979 eV/atom. Its relative energy among the computed polymorphs is 0.062 eV/atom. Its raw formation energy is 0.2614 eV/atom.


# 15
The following is a DFT calculation (PBE) of crystalline SiSbPb2 at its relaxed geometry.

Cell: 5.633 5.633 3.566 Å, 90.00 90.00 105.00°
Positions (direct):
Pb 0.000 0.000 0.000
Pb 0.500 0.500 0.000
Sb 0.500 0.000 0.500
Si 0.000 0.500 0.500

Calculated values
As for the total energy: -3.875 eV/atom. Its relative energy among the computed polymorphs is 0.166 eV/atom. Its raw formation energy is 0.3658 eV/atom.


# 16
The following is a DFT calculation (PBE) of crystalline SiSb2Pb at its relaxed geometry.

Cell: 6.212 6.221 3.179 Å, 80.36 79.83 117.01°
Positions (direct):
Pb 0.500 0.500 0.000
Sb 0.000 0.000 0.000
Sb 0.500 0.000 0.500
Si 0.000 0.500 0.500

Calculated values
As for the total energy: -3.917 eV/atom. Its relative energy among the computed polymorphs is 0.239 eV/atom. Its raw formation energy is 0.4266 eV/atom.


# 17
The following is a DFT calculation (PBE) of crystalline SiSb2Pb at its relaxed geometry.

Cell: 7.704 7.704 7.704 Å, 31.09 31.09 31.09°
Positions (direct):
Pb 0.750 0.750 0.750
Sb 0.985 0.985 0.985
Sb 0.515 0.515 0.515
Si 0.250 0.250 0.250

Calculated values
As for the total energy: -4.141 eV/atom. Its relative energy among the computed polymorphs is 0.015 eV/atom. Its raw formation energy is 0.2030 eV/atom.


# 18
The following is a DFT calculation (PBE) of crystalline SiSbPb2 at its relaxed geometry.

Cell: 3.320 5.972 6.710 Å, 55.31 90.00 90.00°
Positions (direct):
Pb 0.000 0.000 0.000
Pb 0.500 0.500 0.000
Sb 0.500 0.500 0.500
Si 0.000 0.000 0.500

Calculated values
As for the total energy: -3.848 eV/atom. Its relative energy among the computed polymorphs is 0.193 eV/atom. Its raw formation energy is 0.3923 eV/atom.


# 19
The following is a DFT calculation (PBE) of crystalline SiSb2Pb at its relaxed geometry.

Cell: 7.958 7.958 7.958 Å, 29.79 29.79 29.79°
Positions (direct):
Pb 0.757 0.757 0.757
Sb 0.998 0.998 0.998
Sb 0.236 0.236 0.236
Si 0.509 0.509 0.509

Calculated values
As for the total energy: -4.098 eV/atom. Its relative energy among the computed polymorphs is 0.058 eV/atom. Its raw formation energy is 0.2458 eV/atom.


# 20
The following is a DFT calculation (PBE) of crystalline SiSbPb2 at its relaxed geometry.

Cell: 5.066 3.305 6.718 Å, 74.01 90.00 90.00°
Positions (direct):
Pb 0.000 0.949 0.979
Pb 0.500 0.300 0.254
Sb 0.000 0.683 0.522
Si 0.500 0.568 0.745

Calculated values
As for the total energy: -3.922 eV/atom. Its relative energy among the computed polymorphs is 0.119 eV/atom. Its raw formation energy is 0.3181 eV/atom.